## Ag2IBrF (GGA-PBEsol)

Data for Ag2IBrF after structural relaxation.

Geometry as POSCAR:
```
Ag2IBrF
1.0
4.517 0.000 0.000
0.000 4.517 0.000
0.000 0.000 5.490
Ag I Br F
2 1 1 1
direct
0.000 0.500 0.000
0.500 0.000 0.000
0.000 0.000 0.500
0.500 0.500 0.500
0.500 0.500 0.000
```

Computed properties:
magnetization: 0.000 μB per atom
DOS at the Fermi energy: 1.84 states/eV/f.u.
formation energy without anion corrections: -0.081 eV per atom

***

## AgBrO2F (GGA-PBEsol)

Data for AgBrO2F after structural relaxation.

Geometry as POSCAR:
```
AgBrO2F
1.0
4.074 0.000 0.000
0.000 4.074 0.000
0.000 0.000 4.028
Ag Br O F
1 1 2 1
direct
0.000 0.000 0.000
0.500 0.500 0.500
0.000 0.500 0.000
0.500 0.000 0.000
0.000 0.000 0.500
```

Computed properties:
magnetization: 0.004 μB per atom
DOS at the Fermi energy: 5.12 states/eV/f.u.
formation energy without anion corrections: 0.336 eV per atom

***

## AgBrOF2 (GGA-PBEsol)

Data for AgBrOF2 after structural relaxation.

Geometry as POSCAR:
```
AgBrOF2
1.0
4.196 0.000 0.000
0.000 4.196 0.000
0.000 0.000 4.104
Ag Br O F
1 1 1 2
direct
0.000 0.000 0.000
0.500 0.500 0.500
0.000 0.000 0.500
0.000 0.500 0.000
0.500 0.000 0.000
```

Computed properties:
magnetization: 0.479 μB per atom
DOS at the Fermi energy: 3.59 states/eV/f.u.
formation energy without anion corrections: -0.127 eV per atom